Below is a relaxed Er2TmN3 crystal, with properties calculated at the GGA-PBE level.

Results
Raw total energy   -197.5 eV per cell

a b c (Å): 5.923 10.258 5.922
angles (deg): 90.00 109.47 90.00
Space group C2/m (No. 12)
One atom of each set of equivalent atoms:
Er  0.000  0.000  0.000 (multiplicity 2)
Er  0.000  0.167  0.500 (multiplicity 4)
Er  0.000  0.500  0.500 (multiplicity 2)
Tm  0.000  0.333  0.000 (multiplicity 4)
N  0.249  0.500  0.249 (multiplicity 4)
N  0.250  0.167  0.249 (multiplicity 8)